(1)
Here is a relaxed Zr4Tc3Au crystal from the Alexandria database. Energies are from PBE-GGA.

a b c (Å): 3.366 4.726 9.257
angles (deg): 90.00 90.00 90.00
Atoms (fractional coordinates):
Zr: 0.000 0.000 0.000
Zr: 0.000 0.000 0.500
Zr: 0.000 0.500 0.237
Zr: 0.000 0.500 0.763
Tc: 0.500 0.000 0.254
Tc: 0.500 0.000 0.746
Tc: 0.500 0.500 0.000
Au: 0.500 0.500 0.500

Properties
* SG: Pmmm
* energy relative to the elements: -0.426 eV per atom
* crystal system: orthorhombic
* density of states at the Fermi level: 0.54 states/eV/atom

(2)
Here is a relaxed Zr2TcAu crystal from the Alexandria database. Energies are from PBE-GGA.

a b c (Å): 8.580 8.580 8.580
angles (deg): 22.39 22.39 22.39
Atoms (fractional coordinates):
Zr: 0.244 0.244 0.244
Zr: 0.756 0.756 0.756
Tc: 0.500 0.500 0.500
Au: 0.000 0.000 0.000

Properties
* SG: R-3m
* energy relative to the elements: -0.191 eV per atom
* crystal system: trigonal
* density of states at the Fermi level: 1.42 states/eV/atom

(3)
Here is a relaxed ZrTcAu2 crystal from the Alexandria database. Energies are from PBE-GGA.

a b c (Å): 5.005 5.005 4.900
angles (deg): 105.14 105.14 38.01
Atoms (fractional coordinates):
Zr: 0.000 0.000 0.000
Tc: 0.270 0.270 0.768
Au: 0.519 0.519 0.519
Au: 0.761 0.761 0.271

Properties
* SG: Cm
* energy relative to the elements: -0.083 eV per atom
* ΔE to the lowest computed polymorph: 143 meV/atom
* crystal system: monoclinic
* density of states at the Fermi level: 0.91 states/eV/atom

(4)
Here is a relaxed ZrTcAu2 crystal from the Alexandria database. Energies are from PBE-GGA.

a b c (Å): 9.815 9.815 9.815
angles (deg): 17.11 17.11 17.11
Atoms (fractional coordinates):
Zr: 0.000 0.000 0.000
Tc: 0.500 0.500 0.500
Au: 0.246 0.246 0.246
Au: 0.754 0.754 0.754

Properties
* SG: R-3m
* energy relative to the elements: 0.186 eV per atom
* ΔE to the lowest computed polymorph: 412 meV/atom
* crystal system: trigonal
* density of states at the Fermi level: 1.33 states/eV/atom

(5)
Here is a relaxed ZrTcAu2 crystal from the Alexandria database. Energies are from PBE-GGA.

a b c (Å): 2.994 4.165 5.701
angles (deg): 90.00 90.23 90.00
Atoms (fractional coordinates):
Zr: 0.000 0.000 0.000
Tc: 0.000 0.000 0.500
Au: 0.499 0.500 0.741
Au: 0.501 0.500 0.259

Properties
* SG: P2/m
* energy relative to the elements: -0.080 eV per atom
* ΔE to the lowest computed polymorph: 146 meV/atom
* crystal system: monoclinic
* density of states at the Fermi level: 1.21 states/eV/atom

(6)
Here is a relaxed Zr2TcAu crystal from the Alexandria database. Energies are from PBE-GGA.

a b c (Å): 9.196 9.196 9.196
angles (deg): 20.07 20.07 20.07
Atoms (fractional coordinates):
Zr: 0.000 0.000 0.000
Zr: 0.236 0.236 0.236
Tc: 0.499 0.499 0.499
Au: 0.751 0.751 0.751

Properties
* SG: R3m
* energy relative to the elements: 0.107 eV per atom
* crystal system: trigonal
* density of states at the Fermi level: 0.69 states/eV/atom

(7)
Here is a relaxed ZrTc2Au crystal from the Alexandria database. Energies are from PBE-GGA.

a b c (Å): 4.935 4.935 4.796
angles (deg): 102.61 102.61 37.58
Atoms (fractional coordinates):
Zr: 0.000 0.000 0.000
Tc: 0.244 0.244 0.718
Tc: 0.756 0.756 0.282
Au: 0.500 0.500 0.500

Properties
* SG: C2/m
* energy relative to the elements: 0.093 eV per atom
* ΔE to the lowest computed polymorph: 186 meV/atom
* crystal system: monoclinic
* density of states at the Fermi level: 1.31 states/eV/atom

(8)
Here is a relaxed Zr3TcAu crystal from the Alexandria database. Energies are from PBE-GGA.

a b c (Å): 5.102 5.102 5.102
angles (deg): 90.00 90.00 90.00
Atoms (fractional coordinates):
Zr: 0.000 0.000 0.500
Zr: 0.000 0.500 0.000
Zr: 0.500 0.000 0.000
Tc: 0.500 0.500 0.500
Au: 0.000 0.000 0.000

Properties
* SG: Pm-3m
* energy relative to the elements: 1.145 eV per atom
* crystal system: cubic
* density of states at the Fermi level: 2.00 states/eV/atom

(9)
Here is a relaxed ZrTcAu2 crystal from the Alexandria database. Energies are from PBE-GGA.

a b c (Å): 2.899 2.899 8.845
angles (deg): 90.00 90.00 103.36
Atoms (fractional coordinates):
Zr: 0.000 0.000 0.000
Tc: 0.500 0.500 0.235
Au: 0.000 0.000 0.478
Au: 0.500 0.500 0.740

Properties
* SG: Cmm2
* energy relative to the elements: -0.006 eV per atom
* ΔE to the lowest computed polymorph: 220 meV/atom
* crystal system: orthorhombic
* density of states at the Fermi level: 0.75 states/eV/atom

(10)
Here is a relaxed ZrTcAu2 crystal from the Alexandria database. Energies are from PBE-GGA.

a b c (Å): 10.495 10.495 10.495
angles (deg): 158.68 158.68 30.33
Atoms (fractional coordinates):
Zr: 0.000 0.000 0.000
Zr: 0.750 0.250 0.500
Tc: 0.250 0.750 0.500
Tc: 0.500 0.500 0.000
Au: 0.133 0.625 0.008
Au: 0.375 0.383 0.508
Au: 0.617 0.125 0.992
Au: 0.875 0.867 0.492

Properties
* SG: I-42d
* energy relative to the elements: 0.181 eV per atom
* ΔE to the lowest computed polymorph: 406 meV/atom
* crystal system: tetragonal
* density of states at the Fermi level: 1.16 states/eV/atom

(11)
Here is a relaxed ZrTcAu2 crystal from the Alexandria database. Energies are from PBE-GGA.

a b c (Å): 5.033 5.033 3.012
angles (deg): 90.00 90.00 111.51
Atoms (fractional coordinates):
Zr: 0.000 0.000 0.000
Tc: 0.500 0.500 0.000
Au: 0.000 0.500 0.500
Au: 0.500 0.000 0.500

Properties
* SG: Cmmm
* energy relative to the elements: -0.082 eV per atom
* ΔE to the lowest computed polymorph: 144 meV/atom
* crystal system: orthorhombic
* density of states at the Fermi level: 0.95 states/eV/atom

(12)
Here is a relaxed ZrTc2Au crystal from the Alexandria database. Energies are from PBE-GGA.

a b c (Å): 4.593 4.593 4.593
angles (deg): 60.00 60.00 60.00
Atoms (fractional coordinates):
Zr: 0.000 0.000 0.000
Tc: 0.500 0.500 0.500
Tc: 0.750 0.750 0.750
Au: 0.250 0.250 0.250

Properties
* SG: F-43m
* energy relative to the elements: 0.069 eV per atom
* ΔE to the lowest computed polymorph: 161 meV/atom
* crystal system: cubic
* density of states at the Fermi level: 0.75 states/eV/atom

(13)
Here is a relaxed ZrTcAu crystal from the Alexandria database. Energies are from PBE-GGA.

a b c (Å): 6.958 6.798 2.925
angles (deg): 80.80 74.68 24.52
Atoms (fractional coordinates):
Zr: 0.000 0.000 0.000
Tc: 0.344 0.344 0.656
Au: 0.677 0.677 0.323

Properties
* SG: Fmm2
* energy relative to the elements: -0.006 eV per atom
* ΔE to the lowest computed polymorph: 96 meV/atom
* crystal system: orthorhombic
* density of states at the Fermi level: 0.87 states/eV/atom

(14)
Here is a relaxed Zr3Tc2Au crystal from the Alexandria database. Energies are from PBE-GGA.

a b c (Å): 3.344 3.344 10.044
angles (deg): 90.00 90.00 90.00
Atoms (fractional coordinates):
Zr: 0.000 0.000 0.000
Zr: 0.000 0.000 0.318
Zr: 0.000 0.000 0.682
Tc: 0.500 0.500 0.167
Tc: 0.500 0.500 0.833
Au: 0.500 0.500 0.500

Properties
* SG: P4/mmm
* energy relative to the elements: -0.463 eV per atom
* crystal system: tetragonal
* density of states at the Fermi level: 0.63 states/eV/atom

(15)
Here is a relaxed ZrTc2Au crystal from the Alexandria database. Energies are from PBE-GGA.

a b c (Å): 5.081 5.081 5.081
angles (deg): 133.36 133.36 68.09
Atoms (fractional coordinates):
Zr: 0.000 0.000 0.000
Tc: 0.250 0.750 0.500
Tc: 0.750 0.250 0.500
Au: 0.500 0.500 0.000

Properties
* SG: I4/mmm
* energy relative to the elements: 0.101 eV per atom
* ΔE to the lowest computed polymorph: 194 meV/atom
* crystal system: tetragonal
* density of states at the Fermi level: 1.51 states/eV/atom